Record 1
HoHfB4 | GGA-PBE | optimized geometry

a b c (Å): 3.197 3.197 7.342
angles (deg): 90.00 90.00 120.00
Fractional positions:
Ho (0.000, 0.000, 0.000)
Hf (0.000, 0.000, 0.500)
B (0.333, 0.667, 0.266)
B (0.333, 0.667, 0.734)
B (0.667, 0.333, 0.266)
B (0.667, 0.333, 0.734)



Record 2
HfInB2 | GGA-PBE | optimized geometry

a b c (Å): 4.439 4.439 4.439
angles (deg): 60.00 60.00 60.00
Fractional positions:
Hf (0.000, 0.000, 0.000)
In (0.750, 0.750, 0.750)
B (0.250, 0.250, 0.250)
B (0.500, 0.500, 0.500)



Calculated volume (A^3/atom)
10.8, 15.5
Uncorrected energy (eV/f.u.)
-46.2, -19.9